{
  "formula": "Sr2LaNiPb",
  "functional": "PBE",
  "state": "optimized geometry",
  "sg": "P4/mmm",
  "formation_enthalpy_0k_ev_per_atom": -0.209,
  "energy_ev_per_cell": -18.83,
  "cell": [[-2.715, -3.596, 3.558], [5.050, -1.693, 2.143], [-0.269, 3.813, 3.648]],
  "species": ["La", "Ni", "Sr", "Pb", "Sr"],
  "fractional_positions": [[0.000, 0.000, 0.500], [0.000, 0.000, 0.000], [0.500, 0.000, 0.000], [0.500, 0.500, 0.500], [0.000, 0.500, 0.000]]
}